# YHfP2 (GGA-PBE, relaxed)
data_YHfP2
_cell_length_a 6.630
_cell_length_b 3.823
_cell_length_c 6.709
_cell_angle_alpha 90.00
_cell_angle_beta 109.11
_cell_angle_gamma 90.00
_space_group_name_H-M_alt 'C 1 2/m 1'
_space_group_IT_number 12
loop_
_space_group_symop_operation_xyz
'x,y,z'
'-x,-y,-z'
'-x,y,-z'
'x,-y,z'
'x+1/2,y+1/2,z'
'-x+1/2,-y+1/2,-z'
'-x+1/2,y+1/2,-z'
'x+1/2,-y+1/2,z'
loop_
_atom_site_label
_atom_site_type_symbol
_atom_site_fract_x
_atom_site_fract_y
_atom_site_fract_z
Y1 Y 0.000 0.000 0.000
Hf1 Hf 0.000 0.500 0.500
P1 P 0.244 0.000 0.731
# - Total energy: -8.262 eV per atom
# - Formation enthalpy at 0 K: -1.45 eV/atom